Here is crystalline Mg6Si5 at its relaxed geometry from the Alexandria database. Energies are from PBE-GGA.

Structure (CIF):
```
data_Mg6Si5
_symmetry_space_group_name_H-M 'P 1'
_symmetry_Int_Tables_number 1
_symmetry_space_group_name_Hall 'P 1'
_cell_length_a 5.525
_cell_length_b 6.513
_cell_length_c 12.403
_cell_angle_alpha 98.77
_cell_angle_beta 93.46
_cell_angle_gamma 95.01
loop_
_atom_site_label
_atom_site_type_symbol
_atom_site_fract_x
_atom_site_fract_y
_atom_site_fract_z
_atom_site_occupancy
Mg1 Mg 0.888 0.657 0.068 1
Mg2 Mg 0.226 0.149 0.515 1
Mg3 Mg 0.946 0.578 0.376 1
Mg4 Mg 0.742 0.946 0.602 1
Mg5 Mg 0.963 0.772 0.801 1
Mg6 Mg 0.388 0.520 0.156 1
Mg7 Mg 0.757 0.024 0.355 1
Mg8 Mg 0.795 0.422 0.580 1
Mg9 Mg 0.352 0.543 0.916 1
Mg10 Mg 0.463 0.957 0.103 1
Mg11 Mg 0.004 0.152 0.009 1
Mg12 Mg 0.482 0.028 0.873 1
Si1 Si 0.168 0.740 0.575 1
Si2 Si 0.430 0.745 0.423 1
Si3 Si 0.745 0.293 0.209 1
Si4 Si 0.079 0.170 0.763 1
Si5 Si 0.473 0.301 0.719 1
Si6 Si 0.485 0.380 0.370 1
Si7 Si 0.152 0.205 0.244 1
Si8 Si 0.457 0.672 0.714 1
Si9 Si 0.819 0.393 0.863 1
Si10 Si 0.181 0.850 0.269 1
```

Properties
**Space group**: P1
**M_tot**: 0.0 Bohr magnetons per cell
**Offset from the most stable computed form**: 83 kJ/mol of formula units
**E_form (uncorrected)**: 75 meV per atom